Here is BaErCu2Se4 after structural relaxation from Alexandria via LeMat-Bulk. Energies are from GGA-PBE. Values from VASP.

Quantum ESPRESSO input file:
```
&SYSTEM
  ibrav = 0, nat = 8, ntyp = 4
/
ATOMIC_SPECIES
Ba 137.33 Ba.upf
Er 167.26 Er.upf
Cu 63.55 Cu.upf
Se 78.96 Se.upf
CELL_PARAMETERS angstrom
-3.4874 3.4874 4.3241
3.4874 -3.4874 4.3241
3.4874 3.4874 -4.3241
ATOMIC_POSITIONS crystal
Ba 0.0000 0.0000 0.0000
Er 0.5000 0.5000 0.0000
Cu 0.2500 0.7500 0.5000
Cu 0.7500 0.2500 0.5000
Se 0.0845 0.0845 0.5688
Se 0.4843 0.9155 0.0000
Se 0.5157 0.5157 0.4312
Se 0.9155 0.4843 0.0000
```

Summary:
Magnetic moment   0.00 μB/f.u.
Symmetry   No. 121
Formation energy from raw total energies   -1.02 eV/atom